(1)
Compound: VMo2Br
Source: Alexandria
Functional: PBE
Structure: relaxed Values from VASP.

Excess energy over the best structure of this formula in the dataset   0 meV/atom
ρ   8.6 g/cm3
E_form (uncorrected)   0.853 eV/atom

```
&SYSTEM
  ibrav = 0, nat = 4, ntyp = 3
/
ATOMIC_SPECIES
Mo 95.94 Mo.upf
V 50.94 V.upf
Br 79.90 Br.upf
ATOMIC_POSITIONS angstrom
Mo 1.575 1.575 1.575
Mo 4.725 4.725 4.725
V 0.000 0.000 0.000
Br 3.150 3.150 3.150
CELL_PARAMETERS angstrom
0.000 3.150 3.150
3.150 0.000 3.150
3.150 3.150 0.000
```

=====

(2)
Compound: V3MoBr
Source: Alexandria
Functional: PBE
Structure: relaxed Values from VASP.

Excess energy over the best structure of this formula in the dataset   158 meV/atom
ρ   4.9 g/cm3
E_form (uncorrected)   1.406 eV/atom

```
&SYSTEM
  ibrav = 0, nat = 5, ntyp = 3
/
ATOMIC_SPECIES
V 50.94 V.upf
Mo 95.94 Mo.upf
Br 79.90 Br.upf
ATOMIC_POSITIONS angstrom
V 1.550 -1.171 -1.409
V 1.190 -0.761 1.940
V -1.393 -1.952 0.089
Mo 0.000 0.000 0.000
Br 1.347 -3.883 0.620
CELL_PARAMETERS angstrom
-2.786 -3.904 0.178
3.100 -2.341 -2.819
2.380 -1.521 3.881
```

=====

(3)
Compound: VMo2Br
Source: Alexandria
Functional: PBE
Structure: relaxed Values from VASP.

Excess energy over the best structure of this formula in the dataset   67 meV/atom
ρ   7.7 g/cm3
E_form (uncorrected)   0.920 eV/atom

```
&SYSTEM
  ibrav = 0, nat = 8, ntyp = 3
/
ATOMIC_SPECIES
Mo 95.94 Mo.upf
Br 79.90 Br.upf
V 50.94 V.upf
ATOMIC_POSITIONS angstrom
Mo 0.004 0.144 3.889
Mo -3.426 0.050 9.429
Mo -3.465 1.869 7.648
Mo -2.230 -0.734 3.041
Br 0.000 0.000 0.000
Br -3.427 -0.146 5.592
V 0.106 -1.844 1.856
V -1.132 0.810 6.411
CELL_PARAMETERS angstrom
-2.189 -2.800 1.037
2.402 -0.887 2.674
-4.772 4.352 8.292
```

=====

(4)
Compound: V3MoBr
Source: Alexandria
Functional: PBE
Structure: relaxed Values from VASP.

Excess energy over the best structure of this formula in the dataset   0 meV/atom
ρ   6.3 g/cm3
E_form (uncorrected)   1.248 eV/atom

```
&SYSTEM
  ibrav = 0, nat = 5, ntyp = 3
/
ATOMIC_SPECIES
V 50.94 V.upf
Br 79.90 Br.upf
Mo 95.94 Mo.upf
ATOMIC_POSITIONS angstrom
V 0.000 0.000 2.217
V 0.000 2.217 0.000
V 2.217 0.000 0.000
Br 0.000 0.000 0.000
Mo 2.217 2.217 2.217
CELL_PARAMETERS angstrom
4.434 0.000 0.000
0.000 4.434 0.000
0.000 0.000 4.434
```

=====

(5)
Compound: Zr2VMoBr
Source: Alexandria
Functional: PBE
Structure: relaxed Values from VASP.

ρ   5.5 g/cm3
E_form (uncorrected)   0.847 eV/atom

```
&SYSTEM
  ibrav = 0, nat = 5, ntyp = 4
/
ATOMIC_SPECIES
Br 79.90 Br.upf
Mo 95.94 Mo.upf
V 50.94 V.upf
Zr 91.22 Zr.upf
ATOMIC_POSITIONS angstrom
Br -1.199 -2.348 3.437
Mo 0.000 0.000 0.000
V 1.040 -1.880 0.492
Zr 0.084 0.711 2.537
Zr -2.323 -1.179 0.407
CELL_PARAMETERS angstrom
-4.646 -2.358 0.814
2.081 -3.760 0.985
0.167 1.422 5.075
```

=====

(6)
Compound: MoWBr2
Source: Alexandria
Functional: PBE
Structure: relaxed Values from VASP.

Excess energy over the best structure of this formula in the dataset   1223 meV/atom
ρ   10.9 g/cm3
E_form (uncorrected)   1.378 eV/atom

```
&SYSTEM
  ibrav = 0, nat = 4, ntyp = 3
/
ATOMIC_SPECIES
W 183.84 W.upf
Br 79.90 Br.upf
Mo 95.94 Mo.upf
ATOMIC_POSITIONS angstrom
W 0.000 2.277 1.613
Br 2.277 2.277 0.000
Br 0.000 0.000 0.000
Mo 2.277 0.000 1.613
CELL_PARAMETERS angstrom
4.554 0.000 0.000
0.000 4.554 0.000
0.000 0.000 3.227
```

=====

(7)
Compound: MoW4Br
Source: Alexandria
Functional: PBE
Structure: relaxed Values from VASP.

ρ   14.2 g/cm3
E_form (uncorrected)   1.068 eV/atom

```
&SYSTEM
  ibrav = 0, nat = 6, ntyp = 3
/
ATOMIC_SPECIES
W 183.84 W.upf
Br 79.90 Br.upf
Mo 95.94 Mo.upf
ATOMIC_POSITIONS angstrom
W -0.328 -6.001 -1.413
W 1.811 -5.899 0.161
W 1.596 -7.816 -1.668
W 2.031 -5.304 -2.420
Br 0.639 -3.127 -0.667
Mo 0.000 0.000 0.000
CELL_PARAMETERS angstrom
3.856 -3.637 -0.512
-0.870 -5.033 1.507
-0.431 -3.840 -3.665
```

=====

(8)
Compound: Mo2WBr
Source: Alexandria
Functional: PBE
Structure: relaxed Values from VASP.

Excess energy over the best structure of this formula in the dataset   614 meV/atom
ρ   11.4 g/cm3
E_form (uncorrected)   1.039 eV/atom

```
&SYSTEM
  ibrav = 0, nat = 4, ntyp = 3
/
ATOMIC_SPECIES
Mo 95.94 Mo.upf
Br 79.90 Br.upf
W 183.84 W.upf
ATOMIC_POSITIONS angstrom
Mo 1.606 1.606 1.606
Mo 4.819 4.819 4.819
Br 0.000 0.000 0.000
W 3.213 3.213 3.213
CELL_PARAMETERS angstrom
0.000 3.213 3.213
3.213 0.000 3.213
3.213 3.213 0.000
```

=====

(9)
Compound: Mo2WBr
Source: Alexandria
Functional: PBE
Structure: relaxed Values from VASP.

Excess energy over the best structure of this formula in the dataset   396 meV/atom
ρ   11.0 g/cm3
E_form (uncorrected)   0.821 eV/atom

```
&SYSTEM
  ibrav = 0, nat = 4, ntyp = 3
/
ATOMIC_SPECIES
W 183.84 W.upf
Mo 95.94 Mo.upf
Br 79.90 Br.upf
ATOMIC_POSITIONS angstrom
W 5.120 1.593 1.964
Mo 2.495 0.777 1.085
Mo 9.216 2.868 -0.111
Br 7.472 2.325 3.300
CELL_PARAMETERS angstrom
5.141 -0.001 -0.119
4.232 2.918 -0.119
0.580 0.180 4.553
```

=====

(10)
Compound: Mo2WBr
Source: Alexandria
Functional: PBE
Structure: relaxed Values from VASP.

Excess energy over the best structure of this formula in the dataset   152 meV/atom
ρ   10.9 g/cm3
E_form (uncorrected)   0.577 eV/atom

```
&SYSTEM
  ibrav = 0, nat = 4, ntyp = 3
/
ATOMIC_SPECIES
Mo 95.94 Mo.upf
Br 79.90 Br.upf
W 183.84 W.upf
ATOMIC_POSITIONS angstrom
Mo 0.000 0.000 4.336
Mo 0.000 0.000 0.134
Br 0.891 1.338 6.705
W 0.891 1.338 2.235
CELL_PARAMETERS angstrom
2.897 0.002 0.000
-1.114 2.674 0.000
0.000 0.000 8.940
```

=====

(11)
Compound: MoWBr2
Source: Alexandria
Functional: PBE
Structure: relaxed Values from VASP.

Excess energy over the best structure of this formula in the dataset   1053 meV/atom
ρ   9.5 g/cm3
E_form (uncorrected)   1.208 eV/atom

```
&SYSTEM
  ibrav = 0, nat = 4, ntyp = 3
/
ATOMIC_SPECIES
Mo 95.94 Mo.upf
W 183.84 W.upf
Br 79.90 Br.upf
ATOMIC_POSITIONS angstrom
Mo 1.481 0.000 2.297
W 0.000 2.830 2.297
Br 0.000 0.000 0.000
Br 1.481 2.830 0.000
CELL_PARAMETERS angstrom
2.961 0.000 0.000
0.000 5.660 0.000
0.000 0.000 4.594
```

=====

(12)
Compound: MoWBr2
Source: Alexandria
Functional: PBE
Structure: relaxed Values from VASP.

Excess energy over the best structure of this formula in the dataset   241 meV/atom
ρ   7.1 g/cm3
E_form (uncorrected)   0.396 eV/atom

```
&SYSTEM
  ibrav = 0, nat = 4, ntyp = 3
/
ATOMIC_SPECIES
Br 79.90 Br.upf
Mo 95.94 Mo.upf
W 183.84 W.upf
ATOMIC_POSITIONS angstrom
Br 0.000 6.430 6.496
Br 1.614 1.934 2.464
Mo 0.000 3.284 4.310
W 1.614 5.134 4.655
CELL_PARAMETERS angstrom
3.228 0.000 0.000
0.000 4.487 0.036
0.000 2.225 7.133
```